Record 1
Crystalline SrAl2Tl2 at its relaxed geometry, computed with PBE.

a b c (Å): 4.603 4.603 12.703
angles (deg): 90.00 90.00 90.00
Space group I4/mmm (No. 139)
Symmetry-distinct sites (fractional):
Sr: 0.000 0.000 0.000 (multiplicity 2)
Al: 0.000 0.500 0.250 (multiplicity 4)
Tl: 0.000 0.000 0.381 (multiplicity 4)

Values from the calculation:
As for the energy above the most stable polymorph in this dataset: 56 meV per atom. The value obtained for the density of states at the Fermi level is 0.473 states/eV per atom. As for the formation energy: -0.30 eV/f.u. The value obtained for the energy is -2.84 eV per atom.

=====

Record 2
Crystalline SrAl3Tl at its relaxed geometry, computed with PBE.

a b c (Å): 5.959 5.959 5.959
angles (deg): 90.00 90.00 90.00
Space group Pm-3m (No. 221)
Symmetry-distinct sites (fractional):
Sr: 0.000 0.000 0.000 (multiplicity 1)
Al: 0.000 0.000 0.500 (multiplicity 3)
Tl: 0.500 0.500 0.500 (multiplicity 1)

Values from the calculation:
As for the energy above the most stable polymorph in this dataset: 631 meV per atom. The value obtained for the density of states at the Fermi level is 0.914 states/eV per atom. As for the formation energy: 5.77 eV/f.u. The value obtained for the energy is -1.90 eV per atom.

=====

Record 3
Crystalline Sr2AlTl at its relaxed geometry, computed with PBE.

a b c (Å): 3.892 3.892 9.291
angles (deg): 90.00 90.00 90.00
Space group P4mm (No. 99)
Symmetry-distinct sites (fractional):
Sr: 0.000 0.000 0.000 (multiplicity 1)
Sr: 0.500 0.500 0.372 (multiplicity 1)
Al: 0.500 0.500 0.769 (multiplicity 1)
Tl: 0.000 0.000 0.611 (multiplicity 1)

Values from the calculation:
The value obtained for the density of states at the Fermi level is 0.869 states/eV per atom. As for the formation energy: -0.30 eV/f.u. The value obtained for the energy is -2.44 eV per atom.

=====

Record 4
Crystalline Sr3AlTl3 at its relaxed geometry, computed with PBE.

a b c (Å): 12.440 4.675 16.959
angles (deg): 90.00 109.12 90.00
Space group C2/m (No. 12)
Symmetry-distinct sites (fractional):
Sr: 0.022 0.000 0.387 (multiplicity 4)
Sr: 0.103 0.000 0.920 (multiplicity 4)
Sr: 0.242 0.000 0.234 (multiplicity 4)
Al: 0.229 0.500 0.387 (multiplicity 4)
Tl: 0.028 0.500 0.238 (multiplicity 4)
Tl: 0.119 0.500 0.077 (multiplicity 4)
Tl: 0.152 0.500 0.537 (multiplicity 4)

Values from the calculation:
The value obtained for the density of states at the Fermi level is 0.589 states/eV per atom. As for the formation energy: -2.38 eV/f.u. The value obtained for the energy is -2.61 eV per atom.